! TcOs2Au PBE optimized geometry; values from VASP
&SYSTEM
  ibrav = 0, nat = 4, ntyp = 3
/
ATOMIC_SPECIES
Au 196.97 Au.upf
Os 190.23 Os.upf
Tc 98.00 Tc.upf
CELL_PARAMETERS angstrom
4.8235 -0.0082 0.0000
1.6707 4.5250 0.0000
-3.2471 -2.2584 2.7609
ATOMIC_POSITIONS crystal
Au 0.7500 0.2500 0.5000
Os 0.0000 0.0000 0.0000
Os 0.5000 0.5000 0.0000
Tc 0.2500 0.7500 0.5000
! Energy above the most stable polymorph in this dataset   231 meV/atom

! Ti5ZnCo6 PBE optimized geometry; values from VASP
&SYSTEM
  ibrav = 0, nat = 12, ntyp = 3
/
ATOMIC_SPECIES
Zn 65.41 Zn.upf
Co 58.93 Co.upf
Ti 47.87 Ti.upf
CELL_PARAMETERS angstrom
-1.1328 3.4008 -2.1412
-1.0271 -5.6684 -4.3886
-3.4383 0.3002 6.3666
ATOMIC_POSITIONS crystal
Zn 0.0000 0.0000 0.0000
Co 0.2566 0.0856 0.4276
Co 0.7434 0.5724 0.9144
Co 0.7641 0.2641 0.2641
Co 0.2359 0.7359 0.7359
Co 0.2566 0.4276 0.0856
Co 0.7434 0.9144 0.5724
Ti 0.5000 0.1583 0.8417
Ti 0.0000 0.3312 0.6688
Ti 0.5000 0.5000 0.5000
Ti 0.0000 0.6688 0.3312
Ti 0.5000 0.8417 0.1583
! Uncorrected energy   -87.95 eV for the cell shown

! ErAlFe2C PBE optimized geometry; values from VASP
&SYSTEM
  ibrav = 0, nat = 10, ntyp = 4
/
ATOMIC_SPECIES
Er 167.26 Er.upf
Al 26.98 Al.upf
Fe 55.84 Fe.upf
C 12.01 C.upf
CELL_PARAMETERS angstrom
-2.5509 -1.8648 1.9041
-0.2506 -1.5161 -5.3945
4.6969 -5.1656 1.2335
ATOMIC_POSITIONS crystal
Er 0.4562 0.9125 0.7500
Er 0.5438 0.0875 0.2500
Al 0.7335 0.4670 0.7500
Al 0.2665 0.5330 0.2500
Fe 0.1649 0.3298 0.9442
Fe 0.8351 0.6702 0.0558
Fe 0.1649 0.3298 0.5558
Fe 0.8351 0.6702 0.4442
C 0.0000 0.0000 0.0000
C 0.0000 0.0000 0.5000
! Uncorrected energy   -71.68 eV for the cell shown

Number 1: M_tot 0.00 μB per cell. Number 2: M_tot 3.49 μB per cell. Number 3: M_tot 4.18 μB per cell.